Record 1
First-principles (PBE) data for crystalline LiMgTe2 at its relaxed geometry, as listed in Alexandria.

a = 3.8925 Å, b = 3.8925 Å, c = 6.6232 Å
α = 90.00°, β = 90.00°, γ = 90.00°
Fractional coordinates of all 4 atoms:
Li  0.0000  0.0000  0.0000
Mg  0.0000  0.0000  0.5000
Te  0.5000  0.5000  0.2519
Te  0.5000  0.5000  0.7481

Calculated values
calculated volume	100.4	Å³ per cell
SG	P4/mmm (123)
total energy	-2.914	eV/atom
DOS(E_F)	1.84	states/eV per cell

***

Record 2
First-principles (PBE) data for crystalline LiMgTe2 at its relaxed geometry, as listed in Alexandria.

a = 6.8886 Å, b = 6.8886 Å, c = 4.2091 Å
α = 99.37°, β = 99.37°, γ = 33.42°
Fractional coordinates of all 4 atoms:
Li  0.0000  0.0000  0.0000
Mg  0.6862  0.6862  0.4843
Te  0.2273  0.2273  0.0134
Te  0.4736  0.4736  0.4915

Calculated values
calculated volume	108.4	Å³ per cell
SG	Cm (8)
total energy	-3.053	eV/atom
DOS(E_F)	1.45	states/eV per cell

***

Record 3
First-principles (PBE) data for crystalline LiMgTe2 at its relaxed geometry, as listed in Alexandria.

a = 11.6293 Å, b = 11.6293 Å, c = 11.6293 Å
α = 16.72°, β = 16.72°, γ = 16.72°
Fractional coordinates of all 4 atoms:
Li  0.0000  0.0000  0.0000
Mg  0.2581  0.2581  0.2581
Te  0.5255  0.5255  0.5255
Te  0.7276  0.7276  0.7276

Calculated values
calculated volume	113.6	Å³ per cell
SG	R3m (160)
total energy	-2.588	eV/atom
DOS(E_F)	4.69	states/eV per cell

***

Record 4
First-principles (PBE) data for crystalline LiMg2TiTe at its relaxed geometry, as listed in Alexandria.

a = 5.4255 Å, b = 5.4255 Å, c = 5.0908 Å
α = 90.00°, β = 90.00°, γ = 90.00°
Fractional coordinates of all 5 atoms:
Li  0.0000  0.0000  0.0000
Mg  0.0000  0.5000  0.5000
Mg  0.5000  0.0000  0.5000
Ti  0.0000  0.0000  0.5000
Te  0.5000  0.5000  0.0000

Calculated values
calculated volume	149.9	Å³ per cell
SG	P4/mmm (123)
total energy	-2.411	eV/atom
DOS(E_F)	6.10	states/eV per cell

***

Record 5
First-principles (PBE) data for crystalline Li2MgUTe4 at its relaxed geometry, as listed in Alexandria.

a = 7.3661 Å, b = 4.3021 Å, c = 7.4269 Å
α = 90.00°, β = 109.39°, γ = 90.00°
Fractional coordinates of all 8 atoms:
Li  0.0000  0.0000  0.0000
Li  0.5000  0.5000  0.0000
Mg  0.0000  0.5000  0.5000
U  0.5000  0.0000  0.5000
Te  0.2420  0.0000  0.7445
Te  0.2463  0.5000  0.2422
Te  0.7537  0.5000  0.7578
Te  0.7580  0.0000  0.2555

Calculated values
calculated volume	222.0	Å³ per cell
SG	P2/m (10)
total energy	-4.471	eV/atom
DOS(E_F)	4.40	states/eV per cell

***

Record 6
First-principles (PBE) data for crystalline LiY2MgTe4 at its relaxed geometry, as listed in Alexandria.

a = 7.3777 Å, b = 4.2649 Å, c = 7.5953 Å
α = 90.00°, β = 108.65°, γ = 90.00°
Fractional coordinates of all 8 atoms:
Li  0.0000  0.0000  0.0000
Y  0.0000  0.5000  0.5000
Y  0.5000  0.0000  0.5000
Mg  0.5000  0.5000  0.0000
Te  0.2486  0.5000  0.2388
Te  0.2548  0.0000  0.7636
Te  0.7452  0.0000  0.2364
Te  0.7514  0.5000  0.7612

Calculated values
calculated volume	226.4	Å³ per cell
SG	P2/m (10)
total energy	-4.802	eV/atom
DOS(E_F)	3.26	states/eV per cell

***

Record 7
First-principles (PBE) data for crystalline LiThMg at its relaxed geometry, as listed in Alexandria.

a = 17.4894 Å, b = 17.4894 Å, c = 17.4894 Å
α = 10.93°, β = 10.93°, γ = 10.93°
Fractional coordinates of all 6 atoms:
Li  0.1907  0.1907  0.1907
Li  0.8093  0.8093  0.8093
Th  0.3634  0.3634  0.3634
Th  0.6366  0.6366  0.6366
Mg  0.2476  0.2476  0.2476
Mg  0.7524  0.7524  0.7524

Calculated values
calculated volume	167.1	Å³ per cell
DFT formation energy	0.135	eV/atom
SG	R-3m (166)
ΔE to the lowest computed polymorph	3.2	kJ/mol of atoms
total energy	-3.508	eV/atom
DOS(E_F)	4.73	states/eV per cell

***

Record 8
First-principles (PBE) data for crystalline LiThMg at its relaxed geometry, as listed in Alexandria.

a = 7.0695 Å, b = 7.0695 Å, c = 7.0695 Å
α = 152.62°, β = 152.62°, γ = 39.10°
Fractional coordinates of all 3 atoms:
Li  0.0000  0.0000  0.0000
Th  0.3189  0.3189  0.0000
Mg  0.6310  0.6310  0.0000

Calculated values
calculated volume	74.6	Å³ per cell
DFT formation energy	0.102	eV/atom
SG	I4mm (107)
ΔE to the lowest computed polymorph	0.0	kJ/mol of atoms
total energy	-3.541	eV/atom
DOS(E_F)	2.48	states/eV per cell

***

Q: What is the formula in the fifth record?
A: Li2MgUTe4